# 1
# PBE Na2ScTiS4, optimized geometry
data_Na2ScTiS4
_cell_length_a 3.668
_cell_length_b 6.377
_cell_length_c 6.984
_cell_angle_alpha 107.66
_cell_angle_beta 90.00
_cell_angle_gamma 90.00
_space_group_name_H-M_alt 'P 1'
_space_group_IT_number 1
loop_
_space_group_symop_operation_xyz
'x,y,z'
loop_
_atom_site_label
_atom_site_fract_x
_atom_site_fract_y
_atom_site_fract_z
S1 0.500 0.246 0.216
S2 0.000 0.730 0.212
S3 0.000 0.270 0.788
S4 0.500 0.754 0.784
Na1 0.500 0.000 0.500
Na2 0.000 0.500 0.500
Ti1 0.500 0.500 0.000
Sc1 0.000 0.000 0.000
# D(E_F) (states/eV/cell): 3.4
# Total moment (μB per cell): 0.997
# SG: P2/m



# 2
# PBE Na3Sc3TiS8, optimized geometry
data_Na3Sc3TiS8
_cell_length_a 7.395
_cell_length_b 7.394
_cell_length_c 7.973
_cell_angle_alpha 117.64
_cell_angle_beta 90.00
_cell_angle_gamma 120.01
_space_group_name_H-M_alt 'P 1'
_space_group_IT_number 1
loop_
_space_group_symop_operation_xyz
'x,y,z'
loop_
_atom_site_label
_atom_site_fract_x
_atom_site_fract_y
_atom_site_fract_z
Sc1 0.500 0.500 0.500
Sc2 0.000 0.500 0.500
Sc3 0.500 0.000 0.500
Na1 0.500 0.500 0.000
Na2 0.000 0.000 0.000
Na3 0.000 0.500 0.000
S1 0.750 0.979 0.707
S2 0.771 0.021 0.293
S3 0.229 0.458 0.708
S4 0.250 0.021 0.293
S5 0.771 0.542 0.292
S6 0.261 0.522 0.284
S7 0.229 0.979 0.707
S8 0.739 0.478 0.716
Ti1 0.000 0.000 0.500
# Total moment (μB per cell): 0.000
# SG: R-3m



# 3
# PBE NaTm2ScS4, optimized geometry
data_NaTm2ScS4
_cell_length_a 3.819
_cell_length_b 6.610
_cell_length_c 6.699
_cell_angle_alpha 70.81
_cell_angle_beta 90.00
_cell_angle_gamma 90.00
_space_group_name_H-M_alt 'P 1'
_space_group_IT_number 1
loop_
_space_group_symop_operation_xyz
'x,y,z'
loop_
_atom_site_label
_atom_site_fract_x
_atom_site_fract_y
_atom_site_fract_z
Tm1 0.500 0.000 0.500
Tm2 0.000 0.000 0.000
S1 0.500 0.753 0.242
S2 0.000 0.255 0.243
S3 0.500 0.247 0.758
S4 0.000 0.745 0.757
Sc1 0.500 0.500 0.000
Na1 0.000 0.500 0.500
# D(E_F) (states/eV/cell): 2.7
# Total moment (μB per cell): 0.000
# SG: P2/m



# 4
# PBE Na2TmScS4, optimized geometry
data_Na2TmScS4
_cell_length_a 3.854
_cell_length_b 6.671
_cell_length_c 7.011
_cell_angle_alpha 108.48
_cell_angle_beta 90.00
_cell_angle_gamma 90.00
_space_group_name_H-M_alt 'P 1'
_space_group_IT_number 1
loop_
_space_group_symop_operation_xyz
'x,y,z'
loop_
_atom_site_label
_atom_site_fract_x
_atom_site_fract_y
_atom_site_fract_z
S1 0.000 0.749 0.222
S2 0.500 0.231 0.218
S3 0.500 0.769 0.782
S4 0.000 0.251 0.778
Na1 0.500 0.000 0.500
Na2 0.000 0.500 0.500
Tm1 0.500 0.500 0.000
Sc1 0.000 0.000 0.000
# D(E_F) (states/eV/cell): 0.0
# Total moment (μB per cell): 0.000
# SG: P2/m



# 5
# PBE Na3Tm2ScS6, optimized geometry
data_Na3Tm2ScS6
_cell_length_a 6.716
_cell_length_b 6.716
_cell_length_c 7.028
_cell_angle_alpha 99.17
_cell_angle_beta 99.17
_cell_angle_gamma 120.01
_space_group_name_H-M_alt 'P 1'
_space_group_IT_number 1
loop_
_space_group_symop_operation_xyz
'x,y,z'
loop_
_atom_site_label
_atom_site_fract_x
_atom_site_fract_y
_atom_site_fract_z
S1 0.398 0.074 0.222
S2 0.251 0.251 0.779
S3 0.074 0.398 0.222
S4 0.926 0.602 0.778
S5 0.749 0.749 0.221
S6 0.602 0.926 0.778
Tm1 0.333 0.667 0.000
Tm2 0.667 0.333 0.000
Na1 0.167 0.833 0.500
Na2 0.833 0.167 0.500
Na3 0.500 0.500 0.500
Sc1 0.000 0.000 0.000
# D(E_F) (states/eV/cell): 0.0
# Total moment (μB per cell): 0.000
# SG: C2/m



# 6
# PBE NaSc4US8, optimized geometry
data_NaSc4US8
_cell_length_a 7.698
_cell_length_b 7.698
_cell_length_c 7.828
_cell_angle_alpha 60.55
_cell_angle_beta 60.55
_cell_angle_gamma 60.00
_space_group_name_H-M_alt 'P 1'
_space_group_IT_number 1
loop_
_space_group_symop_operation_xyz
'x,y,z'
loop_
_atom_site_label
_atom_site_fract_x
_atom_site_fract_y
_atom_site_fract_z
S1 0.750 0.750 0.268
S2 0.236 0.236 0.291
S3 0.233 0.750 0.268
S4 0.759 0.759 0.724
S5 0.785 0.245 0.726
S6 0.750 0.233 0.268
S7 0.245 0.245 0.726
S8 0.245 0.785 0.726
Sc1 0.005 0.005 0.503
Sc2 0.628 0.628 0.116
Sc3 0.487 0.005 0.503
Sc4 0.005 0.487 0.503
U1 0.002 0.002 0.993
Na1 0.371 0.371 0.887
# D(E_F) (states/eV/cell): 8.0
# Total moment (μB per cell): 2.960
# SG: R3m



# 7
# PBE Na3ScU2S6, optimized geometry
data_Na3ScU2S6
_cell_length_a 6.754
_cell_length_b 6.754
_cell_length_c 7.104
_cell_angle_alpha 99.11
_cell_angle_beta 99.11
_cell_angle_gamma 120.02
_space_group_name_H-M_alt 'P 1'
_space_group_IT_number 1
loop_
_space_group_symop_operation_xyz
'x,y,z'
loop_
_atom_site_label
_atom_site_fract_x
_atom_site_fract_y
_atom_site_fract_z
Sc1 0.000 0.000 0.000
S1 0.248 0.248 0.774
S2 0.076 0.398 0.227
S3 0.602 0.924 0.773
S4 0.924 0.602 0.773
S5 0.752 0.752 0.226
S6 0.398 0.076 0.227
Na1 0.167 0.833 0.500
Na2 0.833 0.167 0.500
Na3 0.500 0.500 0.500
U1 0.667 0.333 0.000
U2 0.333 0.667 0.000
# D(E_F) (states/eV/cell): 7.2
# Total moment (μB per cell): 6.018
# SG: C2/m



# 8
# PBE NaScU2S6, optimized geometry
data_NaScU2S6
_cell_length_a 6.796
_cell_length_b 6.796
_cell_length_c 7.329
_cell_angle_alpha 62.38
_cell_angle_beta 62.37
_cell_angle_gamma 60.00
_space_group_name_H-M_alt 'P 1'
_space_group_IT_number 1
loop_
_space_group_symop_operation_xyz
'x,y,z'
loop_
_atom_site_label
_atom_site_fract_x
_atom_site_fract_y
_atom_site_fract_z
S1 0.934 0.594 0.237
S2 0.234 0.934 0.237
S3 0.374 0.727 0.750
S4 0.594 0.234 0.237
S5 0.148 0.374 0.750
S6 0.727 0.148 0.750
Na1 0.803 0.803 0.592
U1 0.006 0.006 0.982
U2 0.516 0.516 0.451
Sc1 0.324 0.324 0.029
# D(E_F) (states/eV/cell): 14.3
# Total moment (μB per cell): 4.000
# SG: R3



# 9
# PBE Na3Sc2US6, optimized geometry
data_Na3Sc2US6
_cell_length_a 6.666
_cell_length_b 6.666
_cell_length_c 7.032
_cell_angle_alpha 99.10
_cell_angle_beta 99.10
_cell_angle_gamma 120.01
_space_group_name_H-M_alt 'P 1'
_space_group_IT_number 1
loop_
_space_group_symop_operation_xyz
'x,y,z'
loop_
_atom_site_label
_atom_site_fract_x
_atom_site_fract_y
_atom_site_fract_z
Na1 0.500 0.500 0.500
Na2 0.166 0.834 0.500
Na3 0.834 0.166 0.500
S1 0.582 0.926 0.779
S2 0.926 0.582 0.779
S3 0.418 0.074 0.221
S4 0.730 0.730 0.221
S5 0.074 0.418 0.221
S6 0.270 0.270 0.779
Sc1 0.333 0.667 0.000
Sc2 0.667 0.333 0.000
U1 0.000 0.000 0.000
# D(E_F) (states/eV/cell): 9.1
# Total moment (μB per cell): 3.017
# SG: C2/m



# 10
# PBE Na2Sc2US6, optimized geometry
data_Na2Sc2US6
_cell_length_a 6.631
_cell_length_b 6.631
_cell_length_c 7.095
_cell_angle_alpha 98.93
_cell_angle_beta 98.93
_cell_angle_gamma 120.30
_space_group_name_H-M_alt 'P 1'
_space_group_IT_number 1
loop_
_space_group_symop_operation_xyz
'x,y,z'
loop_
_atom_site_label
_atom_site_fract_x
_atom_site_fract_y
_atom_site_fract_z
S1 0.412 0.068 0.714
S2 0.268 0.268 0.286
S3 0.932 0.588 0.286
S4 0.588 0.932 0.286
S5 0.068 0.412 0.714
S6 0.732 0.732 0.714
Na1 0.833 0.167 0.000
Na2 0.167 0.833 0.000
U1 0.000 0.000 0.500
Sc1 0.333 0.667 0.500
Sc2 0.667 0.333 0.500
# D(E_F) (states/eV/cell): 6.4
# Total moment (μB per cell): 2.002
# SG: C2/m



# 11
# PBE NaScUS4, optimized geometry
data_NaScUS4
_cell_length_a 8.242
_cell_length_b 7.901
_cell_length_c 7.755
_cell_angle_alpha 119.39
_cell_angle_beta 90.00
_cell_angle_gamma 121.44
_space_group_name_H-M_alt 'P 1'
_space_group_IT_number 1
loop_
_space_group_symop_operation_xyz
'x,y,z'
loop_
_atom_site_label
_atom_site_fract_x
_atom_site_fract_y
_atom_site_fract_z
Sc1 0.500 0.000 0.000
Sc2 0.500 0.000 0.500
Na1 0.110 0.221 0.860
Na2 0.890 0.779 0.140
U1 0.000 0.500 0.500
U2 0.500 0.500 0.500
S1 0.263 0.526 0.739
S2 0.737 0.474 0.713
S3 0.704 0.983 0.742
S4 0.737 0.474 0.261
S5 0.296 0.017 0.258
S6 0.263 0.526 0.287
S7 0.721 0.017 0.258
S8 0.279 0.983 0.742
# D(E_F) (states/eV/cell): 9.6
# Total moment (μB per cell): 4.000
# SG: Imma



# 12
# PBE Na2YScS, optimized geometry
data_Na2YScS
_cell_length_a 5.345
_cell_length_b 5.009
_cell_length_c 5.345
_cell_angle_alpha 90.00
_cell_angle_beta 90.00
_cell_angle_gamma 90.00
_space_group_name_H-M_alt 'P 1'
_space_group_IT_number 1
loop_
_space_group_symop_operation_xyz
'x,y,z'
loop_
_atom_site_label
_atom_site_fract_x
_atom_site_fract_y
_atom_site_fract_z
Y1 0.500 0.500 0.500
S1 0.000 0.000 0.000
Sc1 0.000 0.500 0.000
Na1 0.000 0.000 0.500
Na2 0.500 0.000 0.000
# Excess energy over the best structure of this formula in the dataset (meV/atom): 0.0
# D(E_F) (states/eV/cell): 3.8
# Total moment (μB per cell): 1.888
# SG: P4/mmm



no.,raw formation energy (eV/atom)
1,-1.526
2,-1.642
3,-1.850
4,-1.794
5,-1.815
6,-1.675
7,-1.467
8,-1.444
9,-1.589
10,-1.624
11,-1.553
12,-0.172